# 1
The following is a PBE calculation of a relaxed structure of Nd2Ni3Ge5, from Alexandria via LeMat-Bulk.

Lattice parameters (Å, degrees): 8.2601 8.2601 8.2601 106.82 88.46 137.53
Fractional coordinates of all 20 atoms:
Nd1 0.1331 0.2371 0.3703
Nd2 0.3669 0.7371 0.1040
Nd3 0.6331 0.2629 0.8960
Nd4 0.8669 0.7629 0.6297
Ni1 0.1347 0.8908 0.0255
Ni2 0.2500 0.7500 0.5000
Ni3 0.3653 0.3908 0.7561
Ni4 0.6347 0.6092 0.2439
Ni5 0.7500 0.2500 0.5000
Ni6 0.8653 0.1092 0.9745
Ge1 0.0150 0.7500 0.2650
Ge2 0.1013 0.6548 0.7560
Ge3 0.2500 0.2500 0.0000
Ge4 0.3987 0.1548 0.5535
Ge5 0.4850 0.7500 0.7350
Ge6 0.5150 0.2500 0.2650
Ge7 0.6013 0.8452 0.4465
Ge8 0.7500 0.7500 0.0000
Ge9 0.8987 0.3452 0.2440
Ge10 0.9850 0.2500 0.7350

Values from the calculation:
Formation enthalpy at 0 K, eV/atom: -0.660
Total moment, μB/atom: 0.000

***

# 2
The following is a PBE calculation of a relaxed structure of NdNi2Ge3, from Alexandria via LeMat-Bulk.

Lattice parameters (Å, degrees): 12.5243 12.5243 12.5243 160.95 160.95 27.07
Fractional coordinates of all 12 atoms:
Nd1 0.1527 0.1527 0.0000
Nd2 0.8473 0.8473 0.0000
Ni1 0.2500 0.7500 0.5000
Ni2 0.4007 0.4007 0.0000
Ni3 0.5993 0.5993 0.0000
Ni4 0.7500 0.2500 0.5000
Ge1 0.0515 0.5515 0.5000
Ge2 0.3014 0.3014 0.0000
Ge3 0.4485 0.9485 0.5000
Ge4 0.5515 0.0515 0.5000
Ge5 0.6986 0.6986 0.0000
Ge6 0.9485 0.4485 0.5000

Values from the calculation:
Formation enthalpy at 0 K, eV/atom: -0.572
Total moment, μB/atom: 0.000

***

# 3
The following is a PBE calculation of a relaxed structure of Nd3Ni7Ge4, from Alexandria via LeMat-Bulk.

Lattice parameters (Å, degrees): 7.8140 7.8140 9.0713 124.21 124.21 30.49
Fractional coordinates of all 14 atoms:
Nd1 0.0000 0.0000 0.0000
Nd2 0.3168 0.3168 0.3125
Nd3 0.6832 0.6832 0.6875
Ni1 0.0000 0.0000 0.5000
Ni2 0.1256 0.1256 0.8531
Ni3 0.3222 0.3222 0.6880
Ni4 0.4976 0.4976 0.7189
Ni5 0.5024 0.5024 0.2811
Ni6 0.6778 0.6778 0.3120
Ni7 0.8744 0.8744 0.1469
Ge1 0.1213 0.1213 0.4002
Ge2 0.3309 0.3309 0.9762
Ge3 0.6691 0.6691 0.0238
Ge4 0.8787 0.8787 0.5998

Values from the calculation:
Formation enthalpy at 0 K, eV/atom: -0.539
Total moment, μB/atom: 0.000

***

# 4
The following is a PBE calculation of a relaxed structure of Nd3Ni4Ge2, from Alexandria via LeMat-Bulk.

Lattice parameters (Å, degrees): 5.7921 5.7921 8.2777 102.27 102.27 41.24
Fractional coordinates of all 9 atoms:
Nd1 0.0000 0.0000 0.0000
Nd2 0.3378 0.3378 0.3291
Nd3 0.6622 0.6622 0.6709
Ni1 0.0548 0.0548 0.3893
Ni2 0.2772 0.2772 0.9395
Ni3 0.7228 0.7228 0.0605
Ni4 0.9452 0.9452 0.6107
Ge1 0.3863 0.3863 0.7181
Ge2 0.6137 0.6137 0.2819

Values from the calculation:
Formation enthalpy at 0 K, eV/atom: -0.543
Total moment, μB/atom: 0.000

***

> Which value of formation enthalpy at 0 K does entry 2 give?

-0.572 eV/atom

***

> The lowest formation enthalpy at 0 K belongs to which entry?

Nd2Ni3Ge5

***

> Number 3 is which compound?

Nd3Ni7Ge4